## CaScPb (PBE-GGA)

Data for a relaxed CaScPb crystal.

density = 5.6 g/cm³
formation energy = -64 kJ/mol of formula units

Lattice parameters (Å, degrees): 7.441 7.441 7.441 152.70 152.70 38.99
Fractional positions:
Pb1 0.324 0.324 0.000
Sc1 0.685 0.685 0.000
Ca1 0.991 0.991 0.000